This record from Alexandria via LeMat-Bulk describes a geometry-optimized LiReOs2 structure. The functional is PBE.

```
LiReOs2
1.0
4.265 -1.352 0.000
4.265 1.352 0.000
-0.452 0.000 4.841
Li Re Os
1 1 2
direct
0.000 0.000 0.000
0.500 0.500 0.500
0.245 0.245 0.764
0.755 0.755 0.236
```

Calculated values
The value obtained for the total energy is -35.83 eV per cell. The symmetry is No. 12. The energy relative to the lowest polymorph listed for this composition is 132 meV per atom. Its density of states at the Fermi level is 2.5 states/eV/cell. The calculation puts the magnetic moment at 0.000 μB per cell. The formation energy is 249 meV per atom.